Entry from Alexandria: crystalline CdMoRu at its relaxed geometry (PBE).

Cell and atoms, written as POSCAR:
```
CdMoRu
1.0
4.3343 0.0000 0.0000
2.1671 3.7536 0.0000
2.1671 1.2512 3.5389
Ru Mo Cd
1 1 1
Cartesian
6.5014 3.7536 2.6542 Ru
4.3343 2.5024 1.7695 Mo
0.0000 0.0000 0.0000 Cd
```

Results
DOS(E_F), states/eV/f.u.: 4.46
Formation enthalpy at 0 K, eV per atom: 0.69
Mass density, g/cm³: 8.924
Total magnetic moment, Bohr magnetons per cell: 0.000